A plane-wave DFT calculation with PBE was carried out for an optimized crystal structure of PmPr2Ga2.

VASP energy in hartree per atom: -0.167

Cell and atoms, written as CIF:
```
data_PmPr2Ga2
_chemical_formula_sum 'Pm2 Pr4 Ga4'
_cell_length_a 4.794
_cell_length_b 6.819
_cell_length_c 8.524
_cell_angle_alpha 90.00
_cell_angle_beta 90.00
_cell_angle_gamma 90.00
_space_group_name_H-M_alt 'I m m m'
_space_group_IT_number 71
_space_group_name_Hall '-I 2 2'
loop_
_atom_site_label
_atom_site_type_symbol
_atom_site_fract_x
_atom_site_fract_y
_atom_site_fract_z
_atom_site_occupancy
Pm1 Pm 0.000 0.000 0.000 1
Pr1 Pr 0.000 0.500 0.198 1
Ga1 Ga 0.000 0.199 0.500 1
```